# Cs2ZrVF6

Cs2ZrVF6 after structural relaxation (PBE+U, the Alexandria database).

**Crystal system**: tetragonal
**DFT total energy**: -110.54 eV/cell
**Calculated volume**: 17.85 Å³ per atom

CIF file:
```
data_Cs2ZrVF6
_cell_length_a 6.355
_cell_length_b 6.355
_cell_length_c 8.836
_cell_angle_alpha 90.00
_cell_angle_beta 90.00
_cell_angle_gamma 90.00
_symmetry_space_group_name_H-M 'I 4/m m m'
_symmetry_Int_Tables_number 139
_symmetry_space_group_name_Hall '-I 4 2'
loop_
_atom_site_label
_atom_site_fract_x
_atom_site_fract_y
_atom_site_fract_z
_atom_site_occupancy
Cs1 0.000 0.500 0.250 1
Zr1 0.000 0.000 0.000 1
V1 0.000 0.000 0.500 1
F1 0.000 0.000 0.255 1
F2 0.240 0.240 0.500 1
```